# MgCrBr

A relaxed structure of MgCrBr (PBE-GGA, Alexandria via LeMat-Bulk).

Structure (CIF):
```
data_MgCrBr
_chemical_formula_sum 'Mg4 Cr4 Br4'
_cell_length_a 6.8473
_cell_length_b 6.8473
_cell_length_c 6.8473
_cell_angle_alpha 90.00
_cell_angle_beta 90.00
_cell_angle_gamma 90.00
_symmetry_space_group_name_H-M 'F -4 3 m'
_symmetry_Int_Tables_number 216
_symmetry_space_group_name_Hall 'F -4 2 3'
loop_
_atom_site_label
_atom_site_type_symbol
_atom_site_fract_x
_atom_site_fract_y
_atom_site_fract_z
_atom_site_occupancy
Mg1 Mg 0.0000 0.0000 0.0000 1
Cr1 Cr 0.2500 0.2500 0.2500 1
Br1 Br 0.0000 0.0000 0.5000 1
```

## Properties
The total energy is -3.895 eV per atom. As for the uncorrected formation energy: 0.4020 eV/atom.